DFT (PBE with a Hubbard U) results for a relaxed structure of AlVO4.

Cell and atoms, written as extended XYZ:
```
6
Lattice="-2.8107 2.8107 4.0321 2.8107 -2.8107 4.0321 2.8107 2.8107 -4.0321" Properties=species:S:1:pos:R:3 pbc="T T T"
Al 0.0000 0.0000 0.0000
V 0.0000 2.8107 2.0160
O 0.2294 1.4164 1.0172
O -1.3943 2.5813 3.0149
O -0.2294 4.2050 1.0172
O 1.3943 3.0401 3.0149
```

Computed properties:
volume: 21.236 Å³/atom
magnetic moment: 0.00 μB/f.u.
space group: No. 82
uncorrected energy: -45.13 eV per formula unit